(1)
A plane-wave DFT calculation with PBE-GGA was carried out for a geometry-optimized KAgTe2N structure.

Lattice parameters (Å, degrees): 6.136 6.136 4.252 90.00 90.00 90.00
Space group P4/mmm (No. 123)
Unique sites:
K 0.000 0.000 0.000 (multiplicity 1)
Ag 0.500 0.500 0.500 (multiplicity 1)
Te 0.000 0.500 0.000 (multiplicity 2)
N 0.000 0.000 0.500 (multiplicity 1)

The calculation puts the volume at 160 Å³/cell. The calculation puts the calculated density at 4.3 g cm⁻³. The magnetization comes out at 0.15 μB per cell.

=====

(2)
A plane-wave DFT calculation with PBE-GGA was carried out for a geometry-optimized KAgTe2N structure.

Lattice parameters (Å, degrees): 5.951 5.951 3.994 90.00 90.00 90.00
Space group P4/mmm (No. 123)
Unique sites:
K 0.000 0.000 0.000 (multiplicity 1)
Ag 0.500 0.500 0.500 (multiplicity 1)
Te 0.000 0.500 0.500 (multiplicity 2)
N 0.500 0.500 0.000 (multiplicity 1)

The calculation puts the volume at 141 Å³/cell. The calculation puts the calculated density at 4.9 g cm⁻³. The magnetization comes out at 1.25 μB per cell.

=====

Stability summary - winner: (2); margin: 1113 meV per atom.

=====

(1)
A plane-wave DFT calculation with PBE-GGA was carried out for a geometry-optimized KNa2Ag structure.

Lattice parameters (Å, degrees): 4.1167 4.1167 34.2962 90.00 90.00 120.00
Space group R-3m (No. 166, hexagonal axes)
Unique sites:
K 0.0000 0.0000 0.0000 (multiplicity 3)
Na 0.0000 0.0000 0.1125 (multiplicity 6)
Ag 0.0000 0.0000 0.5000 (multiplicity 3)

The calculation puts the volume at 503 Å³/cell. The calculation puts the calculated density at 1.9 g cm⁻³. The magnetization comes out at 0.00 μB per cell.

=====

(2)
A plane-wave DFT calculation with PBE-GGA was carried out for a geometry-optimized KNa2Ag structure.

Lattice parameters (Å, degrees): 5.3384 5.3384 18.1430 90.00 90.00 120.00
Space group R3m (No. 160, hexagonal axes)
Unique sites:
K 0.0000 0.0000 0.0000 (multiplicity 3)
Na 0.0000 0.0000 0.5341 (multiplicity 3)
Na 0.0000 0.0000 0.7955 (multiplicity 3)
Ag 0.0000 0.0000 0.1974 (multiplicity 3)

The calculation puts the volume at 448 Å³/cell. The calculation puts the calculated density at 2.1 g cm⁻³. The magnetization comes out at 0.00 μB per cell.

=====

Stability summary - winner: (2); margin: 109 meV per atom.

=====

(1)
A plane-wave DFT calculation with PBE-GGA was carried out for a geometry-optimized KNa2Ag structure.

Lattice parameters (Å, degrees): 3.857 3.857 9.629 90.00 90.00 90.00
Space group P4/mmm (No. 123)
Unique sites:
K 0.000 0.000 0.000 (multiplicity 1)
Na 0.500 0.500 0.331 (multiplicity 2)
Ag 0.000 0.000 0.500 (multiplicity 1)

The calculation puts the volume at 143 Å³/cell. The calculation puts the calculated density at 2.2 g cm⁻³. The magnetization comes out at 0.00 μB per cell.

=====

(2)
A plane-wave DFT calculation with PBE-GGA was carried out for a geometry-optimized KNa2Ag structure.

Lattice parameters (Å, degrees): 4.909 9.521 6.643 90.00 111.36 90.00
Space group P2_1/m (No. 11)
Unique sites:
K 0.055 0.250 0.109 (multiplicity 2)
Na 0.338 0.058 0.676 (multiplicity 4)
Ag 0.233 0.750 0.466 (multiplicity 2)

The calculation puts the volume at 289 Å³/cell. The calculation puts the calculated density at 2.2 g cm⁻³. The magnetization comes out at 0.00 μB per cell.

=====

(3)
A plane-wave DFT calculation with PBE-GGA was carried out for a geometry-optimized KNa2Ag structure.

Lattice parameters (Å, degrees): 4.936 4.936 23.816 90.00 90.00 90.00
Space group I-42d (No. 122)
Unique sites:
K 0.000 0.000 0.000 (multiplicity 4)
Na 0.207 0.250 0.625 (multiplicity 8)
Ag 0.000 0.000 0.500 (multiplicity 4)

The calculation puts the volume at 580 Å³/cell. The calculation puts the calculated density at 2.2 g cm⁻³. The magnetization comes out at 0.00 μB per cell.

=====

Stability summary - winner: (2); margin: 59 meV per atom.

=====

(1)
A plane-wave DFT calculation with PBE-GGA was carried out for a geometry-optimized K2Na2Ag structure.

Lattice parameters (Å, degrees): 4.486 4.486 22.140 90.00 90.00 90.00
Space group I4/mmm (No. 139)
Unique sites:
K 0.000 0.000 0.087 (multiplicity 4)
Na 0.000 0.500 0.250 (multiplicity 4)
Ag 0.000 0.000 0.500 (multiplicity 2)

The calculation puts the volume at 445 Å³/cell. The calculation puts the calculated density at 1.7 g cm⁻³. The magnetization comes out at 0.00 μB per cell.

=====

(2)
A plane-wave DFT calculation with PBE-GGA was carried out for a geometry-optimized K2Na2Ag structure.

Lattice parameters (Å, degrees): 12.195 6.852 5.328 90.00 109.38 90.00
Space group C2/m (No. 12)
Unique sites:
K 0.200 0.000 0.168 (multiplicity 4)
Na 0.000 0.259 0.500 (multiplicity 4)
Ag 0.000 0.500 0.000 (multiplicity 2)

The calculation puts the volume at 420 Å³/cell. The calculation puts the calculated density at 1.8 g cm⁻³. The magnetization comes out at 0.00 μB per cell.

=====

(3)
A plane-wave DFT calculation with PBE-GGA was carried out for a geometry-optimized K2Na2Ag structure.

Lattice parameters (Å, degrees): 8.161 8.161 6.191 90.00 90.00 90.00
Space group P4/mbm (No. 127)
Unique sites:
K 0.187 0.313 0.000 (multiplicity 4)
Na 0.149 0.649 0.500 (multiplicity 4)
Ag 0.000 0.000 0.500 (multiplicity 2)

The calculation puts the volume at 412 Å³/cell. The calculation puts the calculated density at 1.9 g cm⁻³. The magnetization comes out at 0.00 μB per cell.

=====

(4)
A plane-wave DFT calculation with PBE-GGA was carried out for a geometry-optimized K2Na2Ag structure.

Lattice parameters (Å, degrees): 8.766 8.766 6.251 90.00 90.00 90.00
Space group P4/mbm (No. 127)
Unique sites:
K 0.161 0.339 0.000 (multiplicity 4)
Na 0.156 0.656 0.500 (multiplicity 4)
Ag 0.000 0.000 0.000 (multiplicity 2)

The calculation puts the volume at 480 Å³/cell. The calculation puts the calculated density at 1.6 g cm⁻³. The magnetization comes out at 0.00 μB per cell.

=====

Stability summary - winner: (2); margin: 19 meV per atom.

=====

(1)
A plane-wave DFT calculation with PBE-GGA was carried out for a geometry-optimized KNaAg structure.

Lattice parameters (Å, degrees): 6.229 6.739 9.123 90.00 90.00 90.00
Space group Imma (No. 74)
Unique sites:
K 0.000 0.250 0.113 (multiplicity 4)
Na 0.000 0.000 0.500 (multiplicity 4)
Ag 0.250 0.250 0.750 (multiplicity 4)

The calculation puts the volume at 383 Å³/cell. The calculation puts the calculated density at 2.9 g cm⁻³. The magnetization comes out at 0.00 μB per cell.

=====

(2)
A plane-wave DFT calculation with PBE-GGA was carried out for a geometry-optimized KNaAg structure.

Lattice parameters (Å, degrees): 5.3037 5.3037 4.4427 90.00 90.00 120.00
Space group P3m1 (No. 156)
Unique sites:
K 0.0000 0.0000 0.0000 (multiplicity 1)
Na 0.6667 0.3333 0.5014 (multiplicity 1)
Ag 0.3333 0.6667 0.4995 (multiplicity 1)

The calculation puts the volume at 108 Å³/cell. The calculation puts the calculated density at 2.6 g cm⁻³. The magnetization comes out at 0.00 μB per cell.

=====

(3)
A plane-wave DFT calculation with PBE-GGA was carried out for a geometry-optimized KNaAg structure.

Lattice parameters (Å, degrees): 4.663 6.871 13.793 90.00 90.00 90.00
Space group Immm (No. 71)
Unique sites:
K 0.000 0.000 0.205 (multiplicity 4)
Na 0.000 0.235 0.500 (multiplicity 4)
Ag 0.000 0.500 0.103 (multiplicity 4)

The calculation puts the volume at 442 Å³/cell. The calculation puts the calculated density at 2.6 g cm⁻³. The magnetization comes out at 0.00 μB per cell.

=====

(4)
A plane-wave DFT calculation with PBE-GGA was carried out for a geometry-optimized KNaAg structure.

Lattice parameters (Å, degrees): 4.046 4.046 12.728 90.00 90.00 90.00
Space group I4mm (No. 107)
Unique sites:
K 0.000 0.000 0.000 (multiplicity 2)
Na 0.000 0.000 0.274 (multiplicity 2)
Ag 0.000 0.000 0.678 (multiplicity 2)

The calculation puts the volume at 208 Å³/cell. The calculation puts the calculated density at 2.7 g cm⁻³. The magnetization comes out at 0.00 μB per cell.

=====

Stability summary - winner: (3); margin: 24 meV per atom.

=====

(1)
A plane-wave DFT calculation with PBE-GGA was carried out for a geometry-optimized K3NaAg structure.

Lattice parameters (Å, degrees): 6.604 6.604 6.604 90.00 90.00 90.00
Space group Pm-3m (No. 221)
Unique sites:
K 0.000 0.000 0.500 (multiplicity 3)
Na 0.500 0.500 0.500 (multiplicity 1)
Ag 0.000 0.000 0.000 (multiplicity 1)

The calculation puts the volume at 288 Å³/cell. The calculation puts the calculated density at 1.4 g cm⁻³. The magnetization comes out at 0.00 μB per cell.

=====

(2)
A plane-wave DFT calculation with PBE-GGA was carried out for a geometry-optimized K3NaAg structure.

Lattice parameters (Å, degrees): 4.753 10.238 10.628 91.78 90.00 103.35
Space group P1 (No. 1)
Unique sites:
K 0.000 0.000 0.000 (multiplicity 1)
K 0.129 0.258 0.459 (multiplicity 1)
K 0.313 0.625 0.021 (multiplicity 1)
K 0.456 0.913 0.669 (multiplicity 1)
K 0.673 0.344 0.790 (multiplicity 1)
K 0.817 0.633 0.438 (multiplicity 1)
Na 0.477 0.956 0.299 (multiplicity 1)
Na 0.650 0.301 0.160 (multiplicity 1)
Ag 0.285 0.568 0.679 (multiplicity 1)
Ag 0.845 0.689 0.779 (multiplicity 1)

The calculation puts the volume at 503 Å³/cell. The calculation puts the calculated density at 1.6 g cm⁻³. The magnetization comes out at 0.00 μB per cell.

=====

Stability summary - winner: (2); margin: 58 meV per atom.

=====

(1)
A plane-wave DFT calculation with PBE-GGA was carried out for a geometry-optimized KNaAg3 structure.

Lattice parameters (Å, degrees): 5.397 5.397 5.397 90.00 90.00 90.00
Space group Pm-3m (No. 221)
Unique sites:
K 0.000 0.000 0.000 (multiplicity 1)
Na 0.500 0.500 0.500 (multiplicity 1)
Ag 0.000 0.500 0.500 (multiplicity 3)

The calculation puts the volume at 157 Å³/cell. The calculation puts the calculated density at 4.1 g cm⁻³. The magnetization comes out at 0.00 μB per cell.

=====

(2)
A plane-wave DFT calculation with PBE-GGA was carried out for a geometry-optimized KNaAg3 structure.

Lattice parameters (Å, degrees): 5.891 5.891 5.891 90.00 90.00 90.00
Space group Pm-3m (No. 221)
Unique sites:
K 0.000 0.000 0.000 (multiplicity 1)
Na 0.500 0.500 0.500 (multiplicity 1)
Ag 0.000 0.000 0.500 (multiplicity 3)

The calculation puts the volume at 204 Å³/cell. The calculation puts the calculated density at 3.1 g cm⁻³. The magnetization comes out at 0.00 μB per cell.

=====

(3)
A plane-wave DFT calculation with PBE-GGA was carried out for a geometry-optimized KNaAg3 structure.

Lattice parameters (Å, degrees): 5.721 7.870 11.201 90.00 90.00 90.00
Space group Pnma (No. 62)
Unique sites:
K 0.000 0.250 0.004 (multiplicity 4)
Na 0.000 0.000 0.500 (multiplicity 4)
Ag 0.002 0.250 0.289 (multiplicity 4)
Ag 0.248 0.067 0.750 (multiplicity 8)

The calculation puts the volume at 504 Å³/cell. The calculation puts the calculated density at 5.1 g cm⁻³. The magnetization comes out at 0.00 μB per cell.

=====

Stability summary - winner: (3); margin: 361 meV per atom.

=====

(1)
A plane-wave DFT calculation with PBE-GGA was carried out for a geometry-optimized K2NaAg2 structure.

Lattice parameters (Å, degrees): 9.746 9.746 3.749 90.00 90.00 90.00
Space group P4/mbm (No. 127)
Unique sites:
K 0.137 0.363 0.000 (multiplicity 4)
Na 0.000 0.000 0.000 (multiplicity 2)
Ag 0.162 0.662 0.500 (multiplicity 4)

The calculation puts the volume at 356 Å³/cell. The calculation puts the calculated density at 3.0 g cm⁻³. The magnetization comes out at 0.00 μB per cell.

=====

(2)
A plane-wave DFT calculation with PBE-GGA was carried out for a geometry-optimized K2NaAg2 structure.

Lattice parameters (Å, degrees): 5.228 5.228 14.415 90.00 90.00 90.00
Space group I4/mmm (No. 139)
Unique sites:
K 0.000 0.500 0.250 (multiplicity 4)
Na 0.000 0.000 0.000 (multiplicity 2)
Ag 0.000 0.000 0.405 (multiplicity 4)

The calculation puts the volume at 394 Å³/cell. The calculation puts the calculated density at 2.7 g cm⁻³. The magnetization comes out at 0.00 μB per cell.

=====

(3)
A plane-wave DFT calculation with PBE-GGA was carried out for a geometry-optimized K2NaAg2 structure.

Lattice parameters (Å, degrees): 5.284 5.916 10.819 90.00 90.00 90.00
Space group Immm (No. 71)
Unique sites:
K 0.000 0.000 0.200 (multiplicity 4)
Na 0.000 0.500 0.000 (multiplicity 2)
Ag 0.000 0.257 0.500 (multiplicity 4)

The calculation puts the volume at 338 Å³/cell. The calculation puts the calculated density at 3.1 g cm⁻³. The magnetization comes out at 0.00 μB per cell.

=====

(4)
A plane-wave DFT calculation with PBE-GGA was carried out for a geometry-optimized K2NaAg2 structure.

Lattice parameters (Å, degrees): 8.337 8.337 5.110 90.00 90.00 90.00
Space group P4/mbm (No. 127)
Unique sites:
K 0.171 0.329 0.000 (multiplicity 4)
Na 0.000 0.000 0.500 (multiplicity 2)
Ag 0.121 0.621 0.500 (multiplicity 4)

The calculation puts the volume at 355 Å³/cell. The calculation puts the calculated density at 3.0 g cm⁻³. The magnetization comes out at 0.00 μB per cell.

=====

Stability summary - winner: (3); margin: 28 meV per atom.

=====

(1)
A plane-wave DFT calculation with PBE-GGA was carried out for a geometry-optimized KNa4Ag structure.

Lattice parameters (Å, degrees): 20.144 8.195 5.907 90.00 106.97 90.00
Space group C2/m (No. 12)
Unique sites:
K 0.212 0.000 0.211 (multiplicity 4)
Na 0.000 0.188 0.000 (multiplicity 4)
Na 0.098 0.242 0.597 (multiplicity 8)
Na 0.142 0.500 0.142 (multiplicity 4)
Ag 0.000 0.500 0.258 (multiplicity 4)

The calculation puts the volume at 933 Å³/cell. The calculation puts the calculated density at 1.7 g cm⁻³. The magnetization comes out at 0.00 μB per cell.

=====

(2)
A plane-wave DFT calculation with PBE-GGA was carried out for a geometry-optimized KNa4Ag structure.

Lattice parameters (Å, degrees): 9.462 9.462 9.462 90.00 90.00 90.00
Space group F-43m (No. 216)
Unique sites:
K 0.000 0.000 0.000 (multiplicity 4)
Na 0.123 0.123 0.377 (multiplicity 16)
Ag 0.250 0.250 0.750 (multiplicity 4)

The calculation puts the volume at 847 Å³/cell. The calculation puts the calculated density at 1.9 g cm⁻³. The magnetization comes out at 0.00 μB per cell.

=====

Stability summary - winner: (1); margin: 109 meV per atom.